Record 1
Material: PmGe2Ru
Method: DFT, PBE-GGA
State: optimized geometry

a = 4.2215 Å, b = 4.2215 Å, c = 5.6244 Å
α = 67.96°, β = 67.96°, γ = 60.00°
Element x y z (fractional)
Ge1 0.7820 0.7820 0.6541
Ge2 0.2180 0.2180 0.3459
Pm1 0.0000 0.0000 0.0000
Ru1 0.5000 0.5000 0.5000

Computed properties:
E above lowest polymorph, meV per atom: 17
Formation enthalpy at 0 K, eV per atom: -0.613
DFT total energy, eV per cell: -25.71
Symmetry: No. 166
D(E_F), states/eV per atom: 0.59

---

Record 2
Material: PmGe2Ru
Method: DFT, PBE-GGA
State: optimized geometry

a = 4.7196 Å, b = 4.7196 Å, c = 4.7196 Å
α = 60.00°, β = 60.00°, γ = 60.00°
Element x y z (fractional)
Ge1 0.7500 0.7500 0.7500
Ge2 0.2500 0.2500 0.2500
Ru1 0.5000 0.5000 0.5000
Pm1 0.0000 0.0000 0.0000

Computed properties:
E above lowest polymorph, meV per atom: 349
Formation enthalpy at 0 K, eV per atom: -0.281
DFT total energy, eV per cell: -24.39
Symmetry: No. 225
D(E_F), states/eV per atom: 0.74

---

Record 3
Material: PmGe2Ru
Method: DFT, PBE-GGA
State: optimized geometry

a = 4.3212 Å, b = 8.3049 Å, c = 9.1829 Å
α = 90.00°, β = 90.00°, γ = 105.08°
Element x y z (fractional)
Pm1 0.5000 0.0000 0.0000
Pm2 0.7074 0.4149 0.2500
Pm3 0.5000 0.0000 0.5000
Pm4 0.2926 0.5851 0.7500
Ge1 0.0753 0.1507 0.2500
Ge2 0.2997 0.5994 0.4102
Ge3 0.9149 0.8298 0.2500
Ge4 0.9247 0.8493 0.7500
Ge5 0.7003 0.4006 0.5898
Ge6 0.0851 0.1702 0.7500
Ge7 0.7003 0.4006 0.9102
Ge8 0.2997 0.5994 0.0898
Ru1 0.1428 0.2856 0.5018
Ru2 0.1428 0.2856 0.9982
Ru3 0.8572 0.7144 0.4982
Ru4 0.8572 0.7144 0.0018

Computed properties:
E above lowest polymorph, meV per atom: 0
Formation enthalpy at 0 K, eV per atom: -0.630
DFT total energy, eV per cell: -103.13
Symmetry: No. 63
D(E_F), states/eV per atom: 0.61

---

Q: DFT total energy of number 1 (PmGe2Ru)?
A: -25.71 eV per cell

---

Q: Among the records above, which one has the highest formation enthalpy at 0 K?
A: number 2

---

Q: formation enthalpy at 0 K of number 3 (PmGe2Ru)?
A: -0.630 eV per atom